No. 1
! CaHRhSe2 (PBE-GGA, optimized geometry); values from VASP
&SYSTEM
  ibrav = 0, nat = 5, ntyp = 4
/
ATOMIC_SPECIES
Se 78.96 Se.upf
Ca 40.08 Ca.upf
Rh 102.91 Rh.upf
H 1.01 H.upf
CELL_PARAMETERS angstrom
5.060 0.000 0.000
0.000 5.060 0.000
0.000 0.000 3.510
ATOMIC_POSITIONS angstrom
Se 0.000 2.530 0.000
Se 2.530 0.000 0.000
Ca 2.530 2.530 1.755
Rh 0.000 0.000 0.000
H 0.000 0.000 1.755
! - polymorph energy (0 for the lowest one) (meV/atom) = 0.0
! - calculated volume (Å³ per atom) = 17.97
! - symmetry = No. 123

=====

No. 2
! Ca2HRhSe (PBE-GGA, optimized geometry); values from VASP
&SYSTEM
  ibrav = 0, nat = 5, ntyp = 4
/
ATOMIC_SPECIES
Se 78.96 Se.upf
Ca 40.08 Ca.upf
Rh 102.91 Rh.upf
H 1.01 H.upf
CELL_PARAMETERS angstrom
-5.246 0.846 -0.050
-0.802 -5.056 -1.426
-0.184 -0.940 3.438
ATOMIC_POSITIONS angstrom
Se -3.116 -2.575 0.981
Ca -2.623 0.423 -0.025
Ca -0.401 -2.528 -0.713
Rh 0.000 0.000 0.000
H -0.092 -0.470 1.719
! - polymorph energy (0 for the lowest one) (meV/atom) = 157.7
! - calculated volume (Å³ per atom) = 20.16
! - symmetry = No. 123

=====

No. 3
! CaH2RhSe (PBE-GGA, optimized geometry); values from VASP
&SYSTEM
  ibrav = 0, nat = 5, ntyp = 4
/
ATOMIC_SPECIES
H 1.01 H.upf
Se 78.96 Se.upf
Ca 40.08 Ca.upf
Rh 102.91 Rh.upf
CELL_PARAMETERS angstrom
3.851 0.000 0.000
0.000 3.851 0.000
0.000 0.000 5.005
ATOMIC_POSITIONS angstrom
H 0.000 1.925 0.000
H 1.925 0.000 0.000
Se 0.000 0.000 2.503
Ca 1.925 1.925 2.503
Rh 0.000 0.000 0.000
! - calculated volume (Å³ per atom) = 14.84
! - symmetry = No. 123
! - total DFT energy (no corrections) (eV per cell) = -22.2

=====

The lowest calculated volume belongs to which entry?
CaH2RhSe

=====

Which of these has the highest calculated volume?
Ca2HRhSe

=====

The lowest calculated volume belongs to which entry?
CaH2RhSe

=====

Among the records above, which one has the lowest calculated volume?
CaH2RhSe